[1]
Compound: PmPaCdSn
Source: the Alexandria database
Functional: PBE-GGA
Structure: optimized geometry

The structure in POSCAR format:
```
PmPaCdSn
1.0
0.000 3.794 3.794
3.794 0.000 3.794
3.794 3.794 0.000
Pm Pa Cd Sn
1 1 1 1
Cartesian
0.000 0.000 0.000
3.794 3.794 3.794
1.897 1.897 1.897
5.691 5.691 5.691
```

Calculated values
total DFT energy (no corrections): -19.64 eV per cell
spin magnetization: 1.8 μB/f.u.
ΔH_f (0 K): -0.5 eV per formula unit
density of states at the Fermi level: 2.23 states/eV/atom

[2]
Compound: PmPaCdTc
Source: the Alexandria database
Functional: PBE-GGA
Structure: optimized geometry

The structure in POSCAR format:
```
PmPaCdTc
1.0
0.000 3.610 3.610
3.610 0.000 3.610
3.610 3.610 0.000
Pm Pa Cd Tc
1 1 1 1
Cartesian
0.000 0.000 0.000
3.610 3.610 3.610
5.415 5.415 5.415
1.805 1.805 1.805
```

Calculated values
total DFT energy (no corrections): -24.99 eV per cell
spin magnetization: 0.0 μB/f.u.
ΔH_f (0 K): 0.5 eV per formula unit
density of states at the Fermi level: 0.99 states/eV/atom

[3]
Compound: PrPaCd
Source: the Alexandria database
Functional: PBE-GGA
Structure: optimized geometry

The structure in POSCAR format:
```
PrPaCd
1.0
0.000 4.155 8.430
2.673 0.000 8.430
2.673 4.155 0.000
Pr Pa Cd
2 2 2
Cartesian
2.673 4.155 1.687
2.673 4.155 15.173
1.337 2.078 4.215
4.010 6.233 12.646
2.673 2.765 8.430
2.673 5.546 8.430
```

Calculated values
total DFT energy (no corrections): -27.51 eV per cell
spin magnetization: 1.9 μB/f.u.
ΔH_f (0 K): 1.4 eV per formula unit
density of states at the Fermi level: 1.35 states/eV/atom

[4]
Compound: Pa3Cd5Pt12
Source: the Alexandria database
Functional: PBE-GGA
Structure: optimized geometry

The structure in POSCAR format:
```
Pa3Cd5Pt12
1.0
-7.904 7.904 7.904
7.904 -7.904 7.904
7.904 7.904 -7.904
Pa Cd Pt
12 20 48
Cartesian
3.952 1.976 0.000
7.904 3.952 -1.976
1.976 0.000 3.952
9.880 0.000 3.952
0.000 3.952 1.976
3.952 -1.976 7.904
3.952 9.880 0.000
7.904 3.952 5.928
-1.976 7.904 3.952
5.928 7.904 3.952
0.000 3.952 9.880
3.952 5.928 7.904
0.000 0.000 0.000
3.952 3.952 -3.952
3.952 -3.952 3.952
7.904 0.000 0.000
11.856 1.976 0.000
7.904 -3.952 5.928
5.928 7.904 -3.952
5.928 0.000 3.952
3.952 5.928 0.000
7.904 3.952 1.976
-3.952 3.952 3.952
0.000 7.904 0.000
0.000 0.000 7.904
3.952 3.952 3.952
0.000 3.952 5.928
3.952 1.976 7.904
1.976 7.904 3.952
1.976 0.000 11.856
0.000 11.856 1.976
-3.952 5.928 7.904
2.415 -0.066 1.170
9.441 5.122 -4.018
10.319 0.066 1.170
9.441 -2.782 4.018
7.838 -1.170 2.415
11.922 -1.537 2.782
1.170 2.415 -0.066
10.686 3.886 -1.537
5.122 4.018 -1.537
6.734 2.415 0.066
-0.066 1.170 2.415
4.018 -1.537 5.122
7.838 6.734 -2.415
4.018 1.537 2.782
5.122 -4.018 9.441
6.734 -2.415 7.838
2.782 4.018 1.537
9.074 5.489 0.066
4.018 9.441 -2.782
7.838 1.170 5.489
2.415 7.838 -1.170
9.441 2.782 3.886
1.537 2.782 4.018
2.415 0.066 6.734
5.489 7.838 1.170
6.367 5.122 3.886
-1.537 5.122 4.018
5.489 0.066 9.074
0.066 6.734 2.415
3.886 -1.537 10.686
-1.170 2.415 7.838
5.122 3.886 6.367
1.170 10.319 0.066
2.782 11.922 -1.537
3.886 6.367 5.122
0.066 1.170 10.319
3.886 9.441 2.782
7.970 6.734 5.489
1.170 5.489 7.838
2.782 3.886 9.441
-2.782 4.018 9.441
6.734 5.489 7.970
-4.018 9.441 5.122
0.066 9.074 5.489
-1.537 10.686 3.886
-2.415 7.838 6.734
-1.537 2.782 11.922
5.489 7.970 6.734
```

Calculated values
total DFT energy (no corrections): -438.07 eV per cell
spin magnetization: 0.0 μB/f.u.
ΔH_f (0 K): -4.0 eV per formula unit
density of states at the Fermi level: 0.50 states/eV/atom

[5]
Compound: PaCd3Pt12
Source: the Alexandria database
Functional: PBE-GGA
Structure: optimized geometry

The structure in POSCAR format:
```
PaCd3Pt12
1.0
4.100 0.000 0.000
0.000 4.100 0.000
0.000 0.000 16.124
Pa Cd Pt
1 3 12
Cartesian
0.000 0.000 0.000
0.000 0.000 4.114
0.000 0.000 8.062
0.000 0.000 12.011
0.000 2.050 2.041
0.000 2.050 6.085
0.000 2.050 10.040
0.000 2.050 14.084
2.050 0.000 2.041
2.050 0.000 6.085
2.050 0.000 10.040
2.050 0.000 14.084
2.050 2.050 0.000
2.050 2.050 4.096
2.050 2.050 8.062
2.050 2.050 12.028
```

Calculated values
total DFT energy (no corrections): -91.72 eV per cell
spin magnetization: 0.0 μB/f.u.
ΔH_f (0 K): -7.0 eV per formula unit
density of states at the Fermi level: 0.98 states/eV/atom

[6]
Compound: PaCd2Pt
Source: the Alexandria database
Functional: PBE-GGA
Structure: optimized geometry

The structure in POSCAR format:
```
PaCd2Pt
1.0
1.495 0.863 11.245
-1.495 0.863 11.245
0.000 -1.726 11.245
Pa Cd Pt
1 2 1
Cartesian
0.000 0.000 0.000
0.000 0.000 3.308
0.000 0.000 30.426
0.000 0.000 16.867
```

Calculated values
total DFT energy (no corrections): -16.75 eV per cell
spin magnetization: 0.0 μB/f.u.
ΔH_f (0 K): 0.6 eV per formula unit
density of states at the Fermi level: 1.43 states/eV/atom